[1]
DFT (GGA-PBE) results for BaAl2Re after structural relaxation.

a b c (Å): 6.4155 6.4155 6.4155
angles (deg): 153.51 124.68 62.36
Element x y z (fractional)
Al  0.0536  0.0536  0.0000
Al  0.4464  0.4464  0.0000
Re  0.2500  0.7500  0.5000
Ba  0.7500  0.2500  0.5000



[2]
DFT (GGA-PBE) results for BaAlRe2 after structural relaxation.

a b c (Å): 4.8204 4.8204 9.7871
angles (deg): 75.74 75.74 90.00
Element x y z (fractional)
Al  0.5000  0.5000  0.0000
Al  0.2500  0.7500  0.5000
Re  0.3346  0.1250  0.2500
Re  0.3750  0.6654  0.7500
Re  0.8750  0.5846  0.7500
Re  0.4154  0.6250  0.2500
Ba  0.7500  0.2500  0.5000
Ba  0.0000  0.0000  0.0000



Computed E (eV/cell) in order:
-19.74; -54.12